Dy3ScHg4 | PBE-GGA | relaxed

```
8
Lattice="3.656 0.000 0.000 0.000 3.656 0.000 0.000 0.000 14.816" Properties=species:S:1:pos:R:3 pbc="T T T"
Dy 0.000 0.000 0.000
Dy 0.000 0.000 3.807
Dy 0.000 0.000 11.010
Sc 0.000 0.000 7.408
Hg 1.828 1.828 1.887
Hg 1.828 1.828 5.746
Hg 1.828 1.828 9.070
Hg 1.828 1.828 12.929
```

Results
SG = P4/mmm
Formation enthalpy at 0 K = -461 meV/atom
Crystal system = tetragonal
Final energy = -0.2300 Ry/atom